CaSm5Se6 | PBE | optimized geometry

Cell: 7.2351 7.2128 7.2345 Å, 60.10 80.45 70.56°
Element x y z (fractional)
Se (0.2488, 0.5877, 0.3292)
Se (0.7532, 0.7531, 0.0000)
Se (0.7512, 0.4123, 0.6708)
Se (0.7512, 0.0831, 0.3292)
Se (0.2468, 0.2469, 0.0000)
Se (0.2488, 0.9169, 0.6708)
Sm (0.5000, 0.5000, 0.0000)
Sm (0.5000, 0.8324, 0.3352)
Sm (0.0000, 0.6675, 0.6650)
Sm (0.0000, 0.3325, 0.3350)
Sm (0.5000, 0.1676, 0.6648)
Ca (0.0000, 0.0000, 0.0000)

E in eV per formula unit: -68.63
Calculated volume in Å³/f.u.: 309
DOS at the Fermi energy in states/eV/f.u.: 5.178
Magnetization in μB/cell: 0.000
Formation energy from raw total energies in meV per atom: -1844
SG: No. 12